No. 1
Density functional theory data (SCAN) for CoSnP2O at its PBEsol-relaxed geometry.

The structure in POSCAR format:
```
CoSnP2O
1.0
-2.4407 -2.3694 -0.1446
3.0540 -3.2382 1.5145
-1.1915 0.9559 4.4467
P O Sn Co
2 1 1 1
direct
0.0000 0.0000 0.5000 P
0.0000 0.5000 0.0000 P
0.5000 0.0000 0.0000 O
0.5000 0.5000 0.5000 Sn
0.0000 0.0000 0.0000 Co
```

## Properties
**Formation energy without anion corrections**: 0.49 eV per formula unit
**Total DFT energy (no corrections)**: -79.77 eV per cell
**Symmetry**: P4/mmm, No. 123
**Size of the total moment**: 0.00 μB per cell

No. 2
Density functional theory data (SCAN) for V3CoSn2P6O24 at its PBEsol-relaxed geometry.

The structure in POSCAR format:
```
V3CoSn2P6O24
1.0
8.3617 0.0000 0.0000
4.1809 7.2415 0.0000
4.1809 2.4138 7.5454
V O P Sn Co
3 24 6 2 1
direct
0.8539 0.8539 0.4384 V
0.6456 0.6456 0.0633 V
0.3487 0.3487 0.9538 V
0.6480 0.7526 0.5858 O
0.6086 0.4082 0.2138 O
0.1320 0.5086 0.0821 O
0.6867 0.8808 0.9227 O
0.7526 0.0137 0.5858 O
0.9582 0.6983 0.2910 O
0.9663 0.3508 0.4106 O
0.4124 0.5856 0.7674 O
0.4082 0.7693 0.2138 O
0.5086 0.2773 0.0821 O
0.2773 0.1320 0.0821 O
0.7693 0.6086 0.2138 O
0.2345 0.4124 0.7674 O
0.2983 0.9416 0.7333 O
0.0268 0.2983 0.7333 O
0.6983 0.0525 0.2910 O
0.2724 0.9663 0.4106 O
0.5856 0.2345 0.7674 O
0.8808 0.5099 0.9227 O
0.5099 0.6867 0.9227 O
0.0137 0.6480 0.5858 O
0.3508 0.2724 0.4106 O
0.0525 0.9582 0.2910 O
0.9416 0.0268 0.7333 O
0.2513 0.9601 0.2539 P
0.9601 0.5346 0.2539 P
0.0334 0.4710 0.7504 P
0.5346 0.2513 0.2539 P
0.7452 0.0334 0.7504 P
0.4710 0.7452 0.7504 P
0.4897 0.4897 0.5309 Sn
0.0189 0.0189 0.9434 Sn
0.1542 0.1542 0.5374 Co
```

## Properties
**Formation energy without anion corrections**: -83.04 eV per formula unit
**Total DFT energy (no corrections)**: -436.59 eV per cell
**Symmetry**: R3, No. 146
**Size of the total moment**: 6.63 μB per cell

No. 3
Density functional theory data (SCAN) for SrZnCoP2O8 at its PBEsol-relaxed geometry.

The structure in POSCAR format:
```
SrZnCoP2O8
1.0
-1.3634 1.2712 -5.1187
-0.8519 -6.6223 -0.5459
-6.9017 3.6876 4.9742
Co O Sr P Zn
2 16 2 4 2
direct
0.6140 0.8733 0.5534 Co
0.3860 0.1267 0.4466 Co
0.9393 0.1235 0.6945 O
0.3355 0.5285 0.7891 O
0.3738 0.5924 0.3974 O
0.1859 0.4346 0.1029 O
0.0047 0.2566 0.4179 O
0.9953 0.7434 0.5821 O
0.6645 0.4715 0.2109 O
0.6262 0.4076 0.6026 O
0.3694 0.0606 0.6429 O
0.2513 0.9984 0.8736 O
0.3503 0.1930 0.2464 O
0.6497 0.8070 0.7536 O
0.8141 0.5654 0.8971 O
0.0607 0.8765 0.3055 O
0.7487 0.0016 0.1264 O
0.6306 0.9394 0.3571 O
0.2563 0.7939 0.0547 Sr
0.7437 0.2061 0.9453 Sr
0.6038 0.5808 0.7623 P
0.8561 0.0222 0.2975 P
0.1439 0.9778 0.7025 P
0.3962 0.4192 0.2377 P
0.9956 0.3974 0.6416 Zn
0.0044 0.6026 0.3584 Zn
```

## Properties
**Formation energy without anion corrections**: -31.75 eV per formula unit
**Total DFT energy (no corrections)**: -310.99 eV per cell
**Symmetry**: P-1, No. 2
**Size of the total moment**: 6.00 μB per cell

No. 4
Density functional theory data (SCAN) for TaCoP2O at its PBEsol-relaxed geometry.

The structure in POSCAR format:
```
TaCoP2O
1.0
-3.6148 -0.9691 0.4882
1.1946 -2.4195 4.0427
-0.7250 4.0265 2.6241
O P Co Ta
1 2 1 1
direct
0.5000 0.0000 0.0000 O
0.0000 0.0000 0.5000 P
0.0000 0.5000 0.0000 P
0.5000 0.5000 0.5000 Co
0.0000 0.0000 0.0000 Ta
```

## Properties
**Formation energy without anion corrections**: -0.70 eV per formula unit
**Total DFT energy (no corrections)**: -111.62 eV per cell
**Symmetry**: P4/mmm, No. 123
**Size of the total moment**: 2.28 μB per cell
**ΔE to the lowest computed polymorph**: 0.00 kJ/mol of atoms